No. 1
Below is crystalline ScTa3Rh at its relaxed geometry, with properties calculated at the PBE level.

Results
* formation enthalpy at 0 K: 1.929 eV/atom
* energy above the lowest structure with this stoichiometry: 1045 meV per atom
* crystal system: cubic

```
data_ScTa3Rh
_cell_length_a 4.663
_cell_length_b 4.663
_cell_length_c 4.663
_cell_angle_alpha 90.00
_cell_angle_beta 90.00
_cell_angle_gamma 90.00
_space_group_name_H-M_alt 'P m -3 m'
_space_group_IT_number 221
_space_group_name_Hall '-P 4 2 3'
loop_
_atom_site_label
_atom_site_fract_x
_atom_site_fract_y
_atom_site_fract_z
_atom_site_occupancy
Sc1 0.000 0.000 0.000 1
Ta1 0.000 0.000 0.500 1
Rh1 0.500 0.500 0.500 1
```

No. 2
Below is crystalline PmHo2ScS4 at its relaxed geometry, with properties calculated at the PBE level.

Results
* formation energy from raw total energies: -1.94 eV/atom
* crystal system: monoclinic

```
data_PmHo2ScS4
_cell_length_a 6.709
_cell_length_b 3.847
_cell_length_c 6.788
_cell_angle_alpha 90.00
_cell_angle_beta 109.02
_cell_angle_gamma 90.00
_space_group_name_H-M_alt 'P 1 2/m 1'
_space_group_IT_number 10
loop_
_space_group_symop_operation_xyz
'x,y,z'
'-x,-y,-z'
'-x,y,-z'
'x,-y,z'
loop_
_atom_site_label
_atom_site_fract_x
_atom_site_fract_y
_atom_site_fract_z
_atom_site_occupancy
Pm1 0.000 0.000 0.000 1
Ho1 0.500 0.000 0.500 1
Ho2 0.500 0.500 0.000 1
Sc1 0.000 0.500 0.500 1
S1 0.245 0.000 0.737 1
S2 0.255 0.500 0.263 1
```

Which mass density belongs to each record? In order, 11.3 6.5 g/cm³.